[1]
# Ce2ErPuP4

A geometry-optimized Ce2ErPuP4 structure (PBE, Alexandria).

Properties
E: -63.93 eV/f.u.
crystal system: monoclinic
V: 23.22 Å³ per atom
E_form: -1.44 eV/atom
space-group type: P2/m

Cell: 4.042 6.990 6.976 Å, 109.58 90.00 90.00°
Each line ends with the local moment (μB).
Sites, in units of the cell vectors:
1 Ce 0.500 0.000 0.500  0.50
2 Ce 0.000 0.500 0.500  0.48
3 Er 0.500 0.500 0.000  0.02
4 Pu 0.000 0.000 0.000  4.99
5 P 0.500 0.248 0.243  -0.07
6 P 0.500 0.752 0.757  -0.07
7 P 0.000 0.252 0.755  -0.04
8 P 0.000 0.748 0.245  -0.04

[2]
# PrIn6Pd12

A geometry-optimized PrIn6Pd12 structure (PBE, Alexandria).

Properties
E: -91.22 eV/f.u.
crystal system: trigonal
V: 19.49 Å³ per atom
E_form: -0.41 eV/atom
space-group type: R-3m

Cell: 7.560 7.560 7.560 Å, 105.89 105.89 105.89°
Sites, in units of the cell vectors:
1 Pr 0.000 0.000 0.000
2 In 0.703 0.285 0.285
3 In 0.285 0.285 0.703
4 In 0.285 0.703 0.285
5 In 0.715 0.715 0.297
6 In 0.297 0.715 0.715
7 In 0.715 0.297 0.715
8 Pd 0.885 0.115 0.500
9 Pd 0.875 0.633 0.633
10 Pd 0.633 0.633 0.875
11 Pd 0.367 0.125 0.367
12 Pd 0.367 0.367 0.125
13 Pd 0.125 0.367 0.367
14 Pd 0.115 0.500 0.885
15 Pd 0.500 0.885 0.115
16 Pd 0.115 0.885 0.500
17 Pd 0.885 0.500 0.115
18 Pd 0.500 0.115 0.885
19 Pd 0.633 0.875 0.633

[3]
# Fe3Re

A geometry-optimized Fe3Re structure (PBE, Alexandria).

Properties
E: -37.62 eV/f.u.
crystal system: monoclinic
V: 12.52 Å³ per atom
E_form: 0.06 eV/atom
space-group type: P2/m

Cell: 2.544 4.127 4.845 Å, 90.00 79.94 90.00°
Each line ends with the local moment (μB).
Sites, in units of the cell vectors:
1 Re 0.750 0.500 0.750  -0.13
2 Fe 0.014 0.000 0.005  2.34
3 Fe 0.486 0.000 0.495  2.34
4 Fe 0.250 0.500 0.250  2.37

[4]
# Ba3AcF

A geometry-optimized Ba3AcF structure (PBE, Alexandria).

Properties
E: -16.59 eV/f.u.
crystal system: cubic
V: 41.40 Å³ per atom
raw formation energy: -22.32 kcal/mol of atoms
space-group type: Pm-3m

Cell: 5.916 5.916 5.916 Å, 90.00 90.00 90.00°
Sites, in units of the cell vectors:
1 Ac 0.500 0.500 0.500
2 Ba 0.000 0.500 0.000
3 Ba 0.000 0.000 0.500
4 Ba 0.500 0.000 0.000
5 F 0.000 0.000 0.000